[1]
Density functional theory data (PBE) for crystalline La2YZn2In2 at its relaxed geometry.

Computed properties:
- V: 183 Å³ per cell
- E_tot: -26.6 eV/cell
- Spin magnetization: 0.00 μB per formula unit

a b c (Å): 4.733 4.733 9.809
angles (deg): 76.04 76.04 60.00
Fractional coordinates of all 7 atoms:
Zn (0.392, 0.392, 0.823)
Zn (0.608, 0.608, 0.177)
Y (0.000, 0.000, 0.000)
In (0.731, 0.731, 0.806)
La (0.870, 0.870, 0.390)
In (0.269, 0.269, 0.194)
La (0.130, 0.130, 0.610)

=====

[2]
Density functional theory data (PBE) for crystalline LaYZnIn at its relaxed geometry.

Computed properties:
- V: 109 Å³ per cell
- E_tot: -17.0 eV/cell
- Spin magnetization: 0.00 μB per formula unit

a b c (Å): 5.361 5.361 5.361
angles (deg): 60.00 60.00 60.00
Fractional coordinates of all 4 atoms:
La (0.750, 0.750, 0.750)
Y (0.250, 0.250, 0.250)
In (0.500, 0.500, 0.500)
Zn (0.000, 0.000, 0.000)

=====

[3]
Density functional theory data (PBE) for crystalline LaZn3In3 at its relaxed geometry.

Computed properties:
- V: 397 Å³ per cell
- E_tot: -31.3 eV/cell
- Spin magnetization: 0.00 μB per formula unit

a b c (Å): 7.348 7.348 7.348
angles (deg): 90.00 90.00 90.00
Fractional coordinates of all 14 atoms:
Zn (0.750, 0.000, 0.500)
La (0.000, 0.000, 0.000)
In (0.500, 0.000, 0.750)
In (0.500, 0.000, 0.250)
In (0.750, 0.500, 0.000)
In (0.000, 0.250, 0.500)
La (0.500, 0.500, 0.500)
In (0.250, 0.500, 0.000)
Zn (0.500, 0.750, 0.000)
Zn (0.250, 0.000, 0.500)
Zn (0.500, 0.250, 0.000)
In (0.000, 0.750, 0.500)
Zn (0.000, 0.500, 0.250)
Zn (0.000, 0.500, 0.750)

=====

[4]
Density functional theory data (PBE) for crystalline La3Zn2In at its relaxed geometry.

Computed properties:
- V: 169 Å³ per cell
- Energy above the most stable polymorph in this dataset: 10 meV/atom
- Spin magnetization: 0.00 μB per formula unit

a b c (Å): 3.819 5.435 8.574
angles (deg): 108.48 90.00 90.00
Fractional coordinates of all 6 atoms:
La (0.500, 0.174, 0.349)
La (0.500, 0.500, 0.000)
In (0.000, 0.000, 0.000)
Zn (0.000, 0.336, 0.671)
La (0.500, 0.826, 0.651)
Zn (0.000, 0.664, 0.329)

=====

[5]
Density functional theory data (PBE) for crystalline La3Zn2In2 at its relaxed geometry.

Computed properties:
- V: 199 Å³ per cell
- E_tot: -25.6 eV/cell
- Spin magnetization: 0.00 μB per formula unit

a b c (Å): 3.935 6.612 8.744
angles (deg): 112.44 90.00 107.31
Fractional coordinates of all 7 atoms:
La (0.500, 0.000, 0.000)
Zn (0.818, 0.637, 0.059)
In (0.031, 0.062, 0.342)
La (0.700, 0.401, 0.659)
Zn (0.182, 0.363, 0.941)
La (0.300, 0.599, 0.341)
In (0.969, 0.938, 0.658)

=====

[6]
Density functional theory data (PBE) for crystalline La3Zn8In at its relaxed geometry.

Computed properties:
- V: 252 Å³ per cell
- E_tot: -30.9 eV/cell
- Spin magnetization: 0.00 μB per formula unit

a b c (Å): 5.657 5.657 9.646
angles (deg): 72.95 72.95 60.00
Fractional coordinates of all 12 atoms:
Zn (0.439, 0.439, 0.185)
Zn (0.439, 0.936, 0.185)
Zn (0.435, 0.939, 0.687)
La (0.996, 0.996, 0.011)
La (0.376, 0.376, 0.871)
In (0.871, 0.871, 0.386)
Zn (0.690, 0.690, 0.931)
La (0.502, 0.502, 0.493)
Zn (0.936, 0.439, 0.185)
Zn (0.186, 0.186, 0.442)
Zn (0.939, 0.939, 0.687)
Zn (0.939, 0.435, 0.687)

=====

[7]
Density functional theory data (PBE) for crystalline La9Zn2In3 at its relaxed geometry.

Computed properties:
- V: 466 Å³ per cell
- E_tot: -56.8 eV/cell
- Spin magnetization: 0.00 μB per formula unit

a b c (Å): 4.955 10.917 10.917
angles (deg): 83.58 63.08 63.08
Fractional coordinates of all 14 atoms:
In (0.000, 0.000, 0.000)
In (0.496, 0.752, 0.752)
La (0.202, 0.032, 0.266)
Zn (0.500, 0.330, 0.670)
In (0.504, 0.248, 0.248)
La (0.262, 0.577, 0.160)
La (0.000, 0.500, 0.500)
La (0.738, 0.840, 0.423)
La (0.202, 0.266, 0.032)
La (0.798, 0.968, 0.734)
Zn (0.500, 0.670, 0.330)
La (0.798, 0.734, 0.968)
La (0.738, 0.423, 0.840)
La (0.262, 0.160, 0.577)

=====

[8]
Density functional theory data (PBE) for crystalline LaZnIn4 at its relaxed geometry.

Computed properties:
- V: 163 Å³ per cell
- E_tot: -17.6 eV/cell
- Spin magnetization: 0.00 μB per formula unit

a b c (Å): 6.136 6.136 6.136
angles (deg): 60.00 60.00 60.00
Fractional coordinates of all 6 atoms:
In (0.375, 0.375, 0.876)
In (0.375, 0.375, 0.375)
La (0.750, 0.750, 0.750)
In (0.375, 0.876, 0.375)
In (0.876, 0.375, 0.375)
Zn (0.000, 0.000, 0.000)

=====

[9]
Density functional theory data (PBE) for crystalline LaZn2In2 at its relaxed geometry.

Computed properties:
- V: 235 Å³ per cell
- E_tot: -27.0 eV/cell
- Spin magnetization: 0.19 μB per formula unit

a b c (Å): 8.542 8.542 3.218
angles (deg): 90.00 90.00 90.00
Site moments in Bohr magnetons follow the coordinates.
Fractional coordinates of all 10 atoms:
Zn (0.666, 0.834, 0.500)  0.00
Zn (0.334, 0.166, 0.500)  0.00
Zn (0.834, 0.334, 0.500)  0.00
La (0.500, 0.500, 0.000)  0.11
In (0.369, 0.869, 0.000)  0.00
Zn (0.166, 0.666, 0.500)  0.00
La (0.000, 0.000, 0.000)  0.11
In (0.869, 0.631, 0.000)  0.00
In (0.131, 0.369, 0.000)  0.00
In (0.631, 0.131, 0.000)  0.00

=====

[10]
Density functional theory data (PBE) for crystalline LaZnIn3 at its relaxed geometry.

Computed properties:
- V: 127 Å³ per cell
- Energy above the most stable polymorph in this dataset: 0 meV/atom
- Spin magnetization: 0.00 μB per formula unit

a b c (Å): 4.669 4.665 6.715
angles (deg): 69.65 69.63 89.95
Fractional coordinates of all 5 atoms:
In (0.638, 0.950, 0.420)
Zn (0.013, 0.816, 0.667)
In (0.146, 0.442, 0.419)
La (0.406, 0.210, 0.898)
In (0.804, 0.608, 0.107)

=====

[11]
Density functional theory data (PBE) for crystalline La6ZnIn3 at its relaxed geometry.

Computed properties:
- V: 618 Å³ per cell
- Energy above the most stable polymorph in this dataset: 0 meV/atom
- Spin magnetization: 0.00 μB per formula unit

a b c (Å): 5.479 9.709 12.156
angles (deg): 107.19 90.00 90.00
Fractional coordinates of all 20 atoms:
La (0.250, 0.856, 0.320)
La (0.250, 0.240, 0.494)
La (0.250, 0.086, 0.876)
La (0.750, 0.532, 0.914)
La (0.250, 0.664, 0.672)
Zn (0.750, 0.040, 0.399)
La (0.750, 0.760, 0.506)
La (0.750, 0.144, 0.680)
In (0.750, 0.464, 0.622)
In (0.250, 0.767, 0.973)
In (0.250, 0.372, 0.777)
In (0.250, 0.536, 0.378)
La (0.750, 0.875, 0.854)
La (0.250, 0.125, 0.146)
La (0.750, 0.914, 0.124)
La (0.750, 0.336, 0.328)
In (0.750, 0.628, 0.223)
Zn (0.250, 0.960, 0.601)
La (0.250, 0.468, 0.086)
In (0.750, 0.233, 0.027)

=====

[12]
Density functional theory data (PBE) for crystalline La3Zn8In3 at its relaxed geometry.

Computed properties:
- V: 305 Å³ per cell
- E_tot: -38.3 eV/cell
- Spin magnetization: 0.00 μB per formula unit

a b c (Å): 4.559 8.713 8.713
angles (deg): 68.02 74.84 74.84
Fractional coordinates of all 14 atoms:
In (0.000, 0.780, 0.220)
In (0.500, 0.000, 0.000)
Zn (0.345, 0.390, 0.919)
La (0.500, 0.500, 0.500)
Zn (0.835, 0.794, 0.536)
Zn (0.345, 0.919, 0.390)
Zn (0.165, 0.464, 0.206)
Zn (0.655, 0.081, 0.610)
La (0.197, 0.803, 0.803)
Zn (0.165, 0.206, 0.464)
La (0.803, 0.197, 0.197)
In (0.000, 0.220, 0.780)
Zn (0.655, 0.610, 0.081)
Zn (0.835, 0.536, 0.794)